[1]
The following is a DFT calculation (PBE) of a relaxed GaSiTe crystal.

Cell and atoms, written as CIF:
```
data_GaSiTe
_cell_length_a 4.290
_cell_length_b 6.075
_cell_length_c 6.880
_cell_angle_alpha 95.22
_cell_angle_beta 101.58
_cell_angle_gamma 109.03
_symmetry_space_group_name_H-M 'P -1'
_symmetry_Int_Tables_number 2
_symmetry_space_group_name_Hall '-P 1'
loop_
_atom_site_label
_atom_site_type_symbol
_atom_site_fract_x
_atom_site_fract_y
_atom_site_fract_z
Ga1 Ga 0.200 0.234 0.299
Si1 Si 0.418 0.943 0.823
Te1 Te 0.334 0.322 0.710
```

## Properties
As for the uncorrected formation energy: -0.036 eV/atom. As for the electronic total energy: -3.90 eV/atom. The calculated density comes out at 4.57 g/cm3.

---

[2]
The following is a DFT calculation (PBE) of a relaxed GaSiTe crystal.

Cell and atoms, written as CIF:
```
data_GaSiTe
_cell_length_a 11.010
_cell_length_b 4.043
_cell_length_c 7.607
_cell_angle_alpha 90.00
_cell_angle_beta 106.94
_cell_angle_gamma 90.00
_symmetry_space_group_name_H-M 'C 1 m 1'
_symmetry_Int_Tables_number 8
_symmetry_space_group_name_Hall 'C -2y'
loop_
_atom_site_label
_atom_site_type_symbol
_atom_site_fract_x
_atom_site_fract_y
_atom_site_fract_z
Ga1 Ga 0.000 0.000 0.000
Ga2 Ga 0.026 0.000 0.339
Si1 Si 0.241 0.000 0.563
Si2 Si 0.291 0.500 0.749
Te1 Te 0.075 0.500 0.820
Te2 Te 0.353 0.000 0.303
```

## Properties
As for the uncorrected formation energy: -0.022 eV/atom. As for the electronic total energy: -3.89 eV/atom. The calculated density comes out at 4.62 g/cm3.

---

[3]
The following is a DFT calculation (PBE) of a relaxed GaSiTe crystal.

Cell and atoms, written as CIF:
```
data_GaSiTe
_cell_length_a 4.330
_cell_length_b 5.941
_cell_length_c 6.589
_cell_angle_alpha 75.39
_cell_angle_beta 88.73
_cell_angle_gamma 70.10
_symmetry_space_group_name_H-M 'P 1'
_symmetry_Int_Tables_number 1
_symmetry_space_group_name_Hall 'P 1'
loop_
_atom_site_label
_atom_site_type_symbol
_atom_site_fract_x
_atom_site_fract_y
_atom_site_fract_z
Ga1 Ga 0.000 0.000 0.000
Ga2 Ga 0.124 0.279 0.678
Si1 Si 0.546 0.893 0.186
Si2 Si 0.581 0.042 0.491
Te1 Te 0.149 0.727 0.688
Te2 Te 0.827 0.407 0.276
```

## Properties
As for the uncorrected formation energy: 0.022 eV/atom. As for the electronic total energy: -3.84 eV/atom. The calculated density comes out at 4.87 g/cm3.

---

[4]
The following is a DFT calculation (PBE) of a relaxed GaSiTe crystal.

Cell and atoms, written as CIF:
```
data_GaSiTe
_cell_length_a 4.081
_cell_length_b 6.732
_cell_length_c 7.019
_cell_angle_alpha 65.23
_cell_angle_beta 78.64
_cell_angle_gamma 85.76
_symmetry_space_group_name_H-M 'P 1'
_symmetry_Int_Tables_number 1
_symmetry_space_group_name_Hall 'P 1'
loop_
_atom_site_label
_atom_site_type_symbol
_atom_site_fract_x
_atom_site_fract_y
_atom_site_fract_z
Ga1 Ga 0.000 0.000 0.000
Ga2 Ga 0.133 0.622 0.268
Si1 Si 0.419 0.533 0.956
Si2 Si 0.511 0.216 0.888
Te1 Te 0.598 0.344 0.476
Te2 Te 0.974 0.773 0.731
```

## Properties
As for the uncorrected formation energy: 0.035 eV/atom. As for the electronic total energy: -3.83 eV/atom. The calculated density comes out at 4.36 g/cm3.

---

[5]
The following is a DFT calculation (PBE) of a relaxed GaSiTe crystal.

Cell and atoms, written as CIF:
```
data_GaSiTe
_cell_length_a 11.295
_cell_length_b 4.099
_cell_length_c 7.413
_cell_angle_alpha 90.00
_cell_angle_beta 106.32
_cell_angle_gamma 90.00
_symmetry_space_group_name_H-M 'C 1 2/m 1'
_symmetry_Int_Tables_number 12
_symmetry_space_group_name_Hall '-C 2y'
loop_
_atom_site_label
_atom_site_type_symbol
_atom_site_fract_x
_atom_site_fract_y
_atom_site_fract_z
Ga1 Ga 0.021 0.000 0.179
Si1 Si 0.226 0.000 0.412
Te1 Te 0.134 0.500 0.813
```

## Properties
As for the uncorrected formation energy: -0.022 eV/atom. As for the electronic total energy: -3.89 eV/atom. The calculated density comes out at 4.55 g/cm3.

---

[6]
The following is a DFT calculation (PBE) of a relaxed Th8GaSi3Te4 crystal.

Cell and atoms, written as CIF:
```
data_Th8GaSi3Te4
_cell_length_a 8.6827
_cell_length_b 8.6827
_cell_length_c 22.0402
_cell_angle_alpha 90.00
_cell_angle_beta 90.00
_cell_angle_gamma 120.00
_symmetry_space_group_name_H-M 'R -3 m'
_symmetry_Int_Tables_number 166
_symmetry_space_group_name_Hall '-R 3 2"'
loop_
_atom_site_label
_atom_site_type_symbol
_atom_site_fract_x
_atom_site_fract_y
_atom_site_fract_z
Th1 Th 0.0000 0.0000 0.2370
Th2 Th 0.0037 0.5019 0.7621
Ga1 Ga 0.0000 0.0000 0.5000
Si1 Si 0.0000 0.5000 0.5000
Te1 Te 0.0000 0.0000 0.0000
Te2 Te 0.0000 0.5000 0.0000
```

## Properties
As for the uncorrected formation energy: -0.922 eV/atom. As for the electronic total energy: -6.62 eV/atom. The calculated density comes out at 8.73 g/cm3.

---

[7]
The following is a DFT calculation (PBE) of a relaxed Tl2GaSiTe4 crystal.

Cell and atoms, written as CIF:
```
data_Tl2GaSiTe4
_cell_length_a 6.475
_cell_length_b 14.344
_cell_length_c 26.244
_cell_angle_alpha 90.00
_cell_angle_beta 90.00
_cell_angle_gamma 90.00
_symmetry_space_group_name_H-M 'F d d d'
_symmetry_Int_Tables_number 70
loop_
_symmetry_equiv_pos_as_xyz
'x,y,z'
'-x,-y,-z'
'-x+1/4,-y+1/4,z'
'x+1/4,y+1/4,-z'
'x,-y+1/4,-z+1/4'
'-x,y+1/4,z+1/4'
'-x+1/4,y,-z+1/4'
'x+1/4,-y,z+1/4'
'x,y+1/2,z+1/2'
'-x,-y+1/2,-z+1/2'
'-x+1/4,-y+3/4,z+1/2'
'x+1/4,y+3/4,-z+1/2'
'x,-y+3/4,-z+3/4'
'-x,y+3/4,z+3/4'
'-x+1/4,y+1/2,-z+3/4'
'x+1/4,-y+1/2,z+3/4'
'x+1/2,y,z+1/2'
'-x+1/2,-y,-z+1/2'
'-x+3/4,-y+1/4,z+1/2'
'x+3/4,y+1/4,-z+1/2'
'x+1/2,-y+1/4,-z+3/4'
'-x+1/2,y+1/4,z+3/4'
'-x+3/4,y,-z+3/4'
'x+3/4,-y,z+3/4'
'x+1/2,y+1/2,z'
'-x+1/2,-y+1/2,-z'
'-x+3/4,-y+3/4,z'
'x+3/4,y+3/4,-z'
'x+1/2,-y+3/4,-z+1/4'
'-x+1/2,y+3/4,z+1/4'
'-x+3/4,y+1/2,-z+1/4'
'x+3/4,-y+1/2,z+1/4'
loop_
_atom_site_label
_atom_site_type_symbol
_atom_site_fract_x
_atom_site_fract_y
_atom_site_fract_z
Tl1 Tl 0.125 0.125 0.328
Ga1 Ga 0.125 0.125 0.125
Si1 Si 0.125 0.125 0.625
Te1 Te 0.113 0.268 0.821
```

## Properties
As for the uncorrected formation energy: -0.186 eV/atom. As for the electronic total energy: -3.40 eV/atom. The calculated density comes out at 5.54 g/cm3.

---

[8]
The following is a DFT calculation (PBE) of a relaxed Tm8GaSi3Te4 crystal.

Cell and atoms, written as CIF:
```
data_Tm8GaSi3Te4
_cell_length_a 8.3122
_cell_length_b 8.3122
_cell_length_c 21.1887
_cell_angle_alpha 90.00
_cell_angle_beta 90.00
_cell_angle_gamma 120.00
_symmetry_space_group_name_H-M 'R -3 m'
_symmetry_Int_Tables_number 166
_symmetry_space_group_name_Hall '-R 3 2"'
loop_
_atom_site_label
_atom_site_type_symbol
_atom_site_fract_x
_atom_site_fract_y
_atom_site_fract_z
Tm1 Tm 0.0000 0.0000 0.2382
Tm2 Tm 0.0040 0.5020 0.7594
Ga1 Ga 0.0000 0.0000 0.5000
Si1 Si 0.0000 0.5000 0.5000
Te1 Te 0.0000 0.0000 0.0000
Te2 Te 0.0000 0.5000 0.0000
```

## Properties
As for the uncorrected formation energy: -0.993 eV/atom. As for the electronic total energy: -5.22 eV/atom. The calculated density comes out at 7.92 g/cm3.

---

electronic total energy of number 4 (GaSiTe)? -3.83 eV/atom